Record 1
A geometry-optimized CaVSn2 structure, computed with GGA-PBE.

Symmetry: Fm-3m, No. 225
Distance to the lowest polymorph of the same formula, eV/atom: 0.000
Total magnetization, μB/cell: 13.1
Energy relative to the elements, eV per atom: -0.085

Cell lengths 7.1912, 7.1912, 7.1912 Å; angles 90.00, 90.00, 90.00 degrees
Closest atoms and distances in Å follow each position.
Atoms (fractional coordinates):
Ca: 0.0000 0.0000 0.0000  8 Sn 3.11
Ca: 0.0000 0.5000 0.5000  8 Sn 3.11
Ca: 0.5000 0.0000 0.5000  8 Sn 3.11
Ca: 0.5000 0.5000 0.0000  8 Sn 3.11
V: 0.0000 0.0000 0.5000  8 Sn 3.11
V: 0.0000 0.5000 0.0000  8 Sn 3.11
V: 0.5000 0.0000 0.0000  8 Sn 3.11
V: 0.5000 0.5000 0.5000  8 Sn 3.11
Sn: 0.2500 0.2500 0.2500  4 Ca 3.11, 4 V 3.11
Sn: 0.2500 0.2500 0.7500  4 Ca 3.11, 4 V 3.11
Sn: 0.2500 0.7500 0.2500  4 Ca 3.11, 4 V 3.11
Sn: 0.2500 0.7500 0.7500  4 Ca 3.11, 4 V 3.11
Sn: 0.7500 0.2500 0.2500  4 Ca 3.11, 4 V 3.11
Sn: 0.7500 0.2500 0.7500  4 Ca 3.11, 4 V 3.11
Sn: 0.7500 0.7500 0.2500  4 Ca 3.11, 4 V 3.11
Sn: 0.7500 0.7500 0.7500  4 Ca 3.11, 4 V 3.11


Record 2
A geometry-optimized Ca3ScCd structure, computed with GGA-PBE.

Symmetry: Pm-3m, No. 221
Distance to the lowest polymorph of the same formula, eV/atom: 0.354
Total magnetization, μB/cell: 3.1
Energy relative to the elements, eV per atom: 0.704

Cell lengths 5.9811, 5.9811, 5.9811 Å; angles 90.00, 90.00, 90.00 degrees
Closest atoms and distances in Å follow each position.
Atoms (fractional coordinates):
Ca: 0.0000 0.0000 0.5000  2 Sc 2.99
Ca: 0.0000 0.5000 0.0000  2 Sc 2.99
Ca: 0.5000 0.0000 0.0000  2 Sc 2.99
Sc: 0.0000 0.0000 0.0000  6 Ca 2.99
Cd: 0.5000 0.5000 0.5000  12 Ca 4.23


Record 3
A geometry-optimized MnVCr2Au structure, computed with GGA-PBE.

Symmetry: P4/mmm, No. 123
Total magnetization, μB/cell: 0.9
Energy relative to the elements, eV per atom: 1.434

Cell lengths 4.9978, 4.9978, 4.7802 Å; angles 90.00, 90.00, 90.00 degrees
Closest atoms and distances in Å follow each position.
Atoms (fractional coordinates):
Mn: 0.0000 0.0000 0.0000  8 Cr 3.46, 4 V 3.53
V: 0.5000 0.5000 0.0000  2 Au 2.39
Cr: 0.0000 0.5000 0.5000  2 Au 2.50
Cr: 0.5000 0.0000 0.5000  2 Au 2.50
Au: 0.5000 0.5000 0.5000  2 V 2.39, 4 Cr 2.50


Record 4
A geometry-optimized SrYMn structure, computed with GGA-PBE.

Symmetry: I4mm, No. 107
Distance to the lowest polymorph of the same formula, eV/atom: 0.000
Total magnetization, μB/cell: 6.8
Energy relative to the elements, eV per atom: 0.313

Cell lengths 3.7021, 3.7021, 13.6228 Å; angles 90.00, 90.00, 90.00 degrees
Closest atoms and distances in Å follow each position.
Atoms (fractional coordinates):
Sr: 0.0000 0.0000 0.0000  4 Mn 3.40, 4 Sr 3.70, 1 Y 3.73
Sr: 0.5000 0.5000 0.5000  4 Mn 3.40, 4 Sr 3.70, 1 Y 3.73
Y: 0.0000 0.0000 0.2736  4 Mn 3.04
Y: 0.5000 0.5000 0.7736  4 Mn 3.04
Mn: 0.0000 0.0000 0.6595  4 Y 3.04, 4 Sr 3.40
Mn: 0.5000 0.5000 0.1595  4 Y 3.04, 4 Sr 3.40


Record 5
A geometry-optimized Na2Dy2ZrS6 structure, computed with GGA-PBE.

Symmetry: C2/m, No. 12
Raw total energy, eV per atom: -5.8574
Total magnetization, μB/cell: 0.0

Cell lengths 6.7335, 6.7335, 7.1269 Å; angles 99.13, 99.13, 119.50 degrees
Closest atoms and distances in Å follow each position.
Atoms (fractional coordinates):
Na: 0.1686 0.8314 0.0000  6 S 2.91-3.00
Na: 0.8314 0.1686 0.0000  6 S 2.91-3.00
Dy: 0.3340 0.6660 0.5000  6 S 2.73-2.75
Dy: 0.6660 0.3340 0.5000  6 S 2.73-2.75
Zr: 0.0000 0.0000 0.5000  6 S 2.59-2.61
S: 0.0710 0.3916 0.7189  1 Zr 2.61, 2 Dy 2.73-2.75, 1 Na 2.91
S: 0.2418 0.2418 0.2821  1 Zr 2.59, 2 Dy 2.74
S: 0.3916 0.0710 0.7189  1 Zr 2.61, 2 Dy 2.73-2.75, 1 Na 2.91
S: 0.6084 0.9290 0.2811  1 Zr 2.61, 2 Dy 2.73-2.75, 1 Na 2.91
S: 0.7582 0.7582 0.7179  1 Zr 2.59, 2 Dy 2.74
S: 0.9290 0.6084 0.2811  1 Zr 2.61, 2 Dy 2.73-2.75, 1 Na 2.91


Record 6
A geometry-optimized CsAuN2F structure, computed with GGA-PBE.

Symmetry: P4/mmm, No. 123
Raw total energy, eV per atom: -2.5704
Total magnetization, μB/cell: 2.9

Cell lengths 5.0555, 5.0555, 5.1172 Å; angles 90.00, 90.00, 90.00 degrees
Closest atoms and distances in Å follow each position.
Atoms (fractional coordinates):
Cs: 0.0000 0.0000 0.0000  4 N 2.53, 2 F 2.56
Au: 0.5000 0.5000 0.5000  4 F 3.57, 8 N 3.60
N: 0.0000 0.5000 0.0000  2 Cs 2.53
N: 0.5000 0.0000 0.0000  2 Cs 2.53
F: 0.0000 0.0000 0.5000  2 Cs 2.56


Record 7
A geometry-optimized ScPaNi3 structure, computed with GGA-PBE.

Symmetry: Cmcm, No. 63
Total magnetization, μB/cell: 0.0
Energy relative to the elements, eV per atom: -0.349

Cell lengths 7.1527, 7.1527, 4.8219 Å; angles 90.00, 90.00, 138.73 degrees
Closest atoms and distances in Å follow each position.
Atoms (fractional coordinates):
Sc: 0.0604 0.9396 0.7500  10 Ni 2.84-2.91, 2 Sc 2.90, 2 Pa 3.14
Sc: 0.9396 0.0604 0.2500  10 Ni 2.84-2.91, 2 Sc 2.90, 2 Pa 3.14
Pa: 0.2992 0.7008 0.2500  6 Ni 2.59-2.88
Pa: 0.7008 0.2992 0.7500  6 Ni 2.59-2.88
Ni: 0.1192 0.3796 0.7500  4 Ni 2.47-2.53, 1 Pa 2.59
Ni: 0.3796 0.1192 0.2500  4 Ni 2.47-2.53, 1 Pa 2.59
Ni: 0.5000 0.5000 0.0000  6 Ni 2.41-2.47
Ni: 0.5000 0.5000 0.5000  6 Ni 2.41-2.47
Ni: 0.6204 0.8808 0.7500  4 Ni 2.47-2.53, 1 Pa 2.59
Ni: 0.8808 0.6204 0.2500  4 Ni 2.47-2.53, 1 Pa 2.59


Record 8
A geometry-optimized Ti2HPd structure, computed with GGA-PBE.

Symmetry: R-3m, No. 166
Raw total energy, eV per atom: -6.1922
Total magnetization, μB/cell: 0.0

Cell lengths 2.8294, 2.8294, 22.5386 Å; angles 90.00, 90.00, 120.00 degrees
Closest atoms and distances in Å follow each position.
Atoms (fractional coordinates):
Ti: 0.0000 0.0000 0.1098  3 H 2.08
Ti: 0.0000 0.0000 0.8902  3 H 2.08
Ti: 0.3333 0.6667 0.5569  3 H 2.08
Ti: 0.3333 0.6667 0.7764  3 H 2.08
Ti: 0.6667 0.3333 0.2236  3 H 2.08
Ti: 0.6667 0.3333 0.4431  3 H 2.08
H: 0.0000 0.0000 0.5000  6 Ti 2.08
H: 0.3333 0.6667 0.1667  6 Ti 2.08
H: 0.6667 0.3333 0.8333  6 Ti 2.08
Pd: 0.0000 0.0000 0.0000  2 Ti 2.47
Pd: 0.3333 0.6667 0.6667  2 Ti 2.47
Pd: 0.6667 0.3333 0.3333  2 Ti 2.47


Record 9
A geometry-optimized ErPaBeN3 structure, computed with GGA-PBE.

Symmetry: P2_1/m, No. 11
Raw total energy, eV per atom: -8.5367
Total magnetization, μB/cell: 0.0

Cell lengths 6.7412, 3.2477, 7.1513 Å; angles 90.00, 99.96, 90.00 degrees
Closest atoms and distances in Å follow each position.
Atoms (fractional coordinates):
Er: 0.1879 0.2500 0.1484  6 N 2.31-2.43
Er: 0.8121 0.7500 0.8516  6 N 2.31-2.43
Pa: 0.2037 0.2500 0.6709  5 N 2.29-2.56
Pa: 0.7963 0.7500 0.3291  5 N 2.29-2.56
Be: 0.4040 0.7500 0.4220  4 N 1.69-1.87
Be: 0.5960 0.2500 0.5780  4 N 1.69-1.87
N: 0.1417 0.7500 0.3900  1 Be 1.74
N: 0.1654 0.7500 0.8999  3 Er 2.35-2.39, 2 Pa 2.35
N: 0.4997 0.2500 0.3438  3 Be 1.69-1.87
N: 0.5003 0.7500 0.6562  3 Be 1.69-1.87
N: 0.8346 0.2500 0.1001  3 Er 2.35-2.39, 2 Pa 2.35
N: 0.8583 0.2500 0.6100  1 Be 1.74


Record 10
A geometry-optimized KAl2Cl8 structure, computed with GGA-PBE.

Symmetry: C2/m, No. 12
Distance to the lowest polymorph of the same formula, eV/atom: 0.000
Total magnetization, μB/cell: 1.0

Cell lengths 8.3970, 8.3970, 7.1000 Å; angles 105.76, 105.76, 56.85 degrees
Closest atoms and distances in Å follow each position.
Atoms (fractional coordinates):
K: 0.0000 0.0000 0.0000  6 Cl 3.16-3.33
Al: 0.1759 0.1759 0.6609  4 Cl 2.14-2.17
Al: 0.8241 0.8241 0.3391  4 Cl 2.14-2.17
Cl: 0.1190 0.6859 0.2883  1 Al 2.17
Cl: 0.1873 0.1873 0.3678  1 Al 2.14
Cl: 0.3141 0.3141 0.8794  1 Al 2.15
Cl: 0.3141 0.8810 0.7117  1 Al 2.17
Cl: 0.6859 0.1190 0.2883  1 Al 2.17
Cl: 0.6859 0.6859 0.1206  1 Al 2.15
Cl: 0.8127 0.8127 0.6322  1 Al 2.14
Cl: 0.8810 0.3141 0.7117  1 Al 2.17


Record 11
A geometry-optimized AgSnPb2Se5 structure, computed with GGA-PBE.

Symmetry: Cmc2_1, No. 36
Raw total energy, eV per atom: -3.8265
Total magnetization, μB/cell: 0.0

Cell lengths 10.2254, 10.2254, 12.6301 Å; angles 90.00, 90.00, 157.25 degrees
Closest atoms and distances in Å follow each position.
Atoms (fractional coordinates):
Ag: 0.2002 0.7998 0.5000  5 Se 2.73-2.82
Ag: 0.7998 0.2002 0.0000  5 Se 2.73-2.82
Sn: 0.4534 0.5466 0.9094  4 Se 2.53-2.61
Sn: 0.5466 0.4534 0.4094  4 Se 2.53-2.61
Pb: 0.1315 0.8685 0.8007  6 Se 3.05-3.17
Pb: 0.1502 0.8498 0.1474  3 Se 2.92
Pb: 0.8498 0.1502 0.6474  3 Se 2.92
Pb: 0.8685 0.1315 0.3007  6 Se 3.05-3.17
Se: 0.0229 0.9771 0.5345  2 Sn 2.61
Se: 0.2958 0.7042 0.1453  2 Ag 2.73, 1 Pb 2.92
Se: 0.3284 0.6716 0.8574  1 Sn 2.59, 2 Ag 2.76
Se: 0.3402 0.6598 0.4811  1 Ag 2.82, 4 Pb 2.92-3.09
Se: 0.4769 0.5231 0.2420  1 Sn 2.53
Se: 0.5231 0.4769 0.7420  1 Sn 2.53
Se: 0.6598 0.3402 0.9811  1 Ag 2.82, 4 Pb 2.92-3.09
Se: 0.6716 0.3284 0.3574  1 Sn 2.59, 2 Ag 2.76
Se: 0.7042 0.2958 0.6453  2 Ag 2.73, 1 Pb 2.92
Se: 0.9771 0.0229 0.0345  2 Sn 2.61


Record 12
A geometry-optimized Ag2PbCl8 structure, computed with GGA-PBE.

Symmetry: I422, No. 97
Raw total energy, eV per atom: -2.6384
Total magnetization, μB/cell: 0.0

Cell lengths 8.0295, 8.0295, 8.0295 Å; angles 128.31, 128.31, 76.12 degrees
Closest atoms and distances in Å follow each position.
Atoms (fractional coordinates):
Ag: 0.2500 0.7500 0.5000  4 Cl 2.35
Ag: 0.7500 0.2500 0.5000  4 Cl 2.35
Pb: 0.0000 0.0000 0.0000  8 Cl 3.03
Cl: 0.0525 0.5477 0.8421  1 Ag 2.35
Cl: 0.2104 0.0525 0.5047  1 Ag 2.35
Cl: 0.2944 0.4523 0.5047  1 Ag 2.35
Cl: 0.4523 0.9475 0.1579  1 Ag 2.35
Cl: 0.5477 0.7056 0.4953  1 Ag 2.35
Cl: 0.7056 0.2104 0.1579  1 Ag 2.35
Cl: 0.7896 0.2944 0.8421  1 Ag 2.35
Cl: 0.9475 0.7896 0.4953  1 Ag 2.35